w.
A PBEsol-optimized structure of LiRuPt2, computed with meta-GGA SCAN.

Unit cell a=3.8191 b=3.8191 c=3.7382 alpha=90.00 beta=90.00 gamma=90.00
Closest atoms and distances in Å follow each position.
Atoms (fractional coordinates):
Li1 0.0000 0.0000 0.0000  8 Pt 2.67, 4 Ru 2.70
Ru1 0.5000 0.5000 0.0000  8 Pt 2.67, 4 Li 2.70
Pt1 0.0000 0.5000 0.5000  4 Li 2.67, 4 Ru 2.67, 4 Pt 2.70
Pt2 0.5000 0.0000 0.5000  4 Li 2.67, 4 Ru 2.67, 4 Pt 2.70

Output
As for the space-group type: No. 123.

x.
A PBEsol-optimized structure of LiRuPt2, computed with meta-GGA SCAN.

Unit cell a=3.7861 b=3.7861 c=7.5769 alpha=90.00 beta=90.00 gamma=90.00
Closest atoms and distances in Å follow each position.
Atoms (fractional coordinates):
Li1 0.0000 0.0000 0.0000  8 Pt 2.68, 4 Ru 2.68
Li2 0.5000 0.5000 0.5000  8 Pt 2.68, 4 Ru 2.68
Ru1 0.0000 0.5000 0.7500  8 Pt 2.68, 4 Li 2.68
Ru2 0.5000 0.0000 0.2500  8 Pt 2.68, 4 Li 2.68
Pt1 0.0000 0.0000 0.5000  4 Li 2.68, 4 Ru 2.68, 4 Pt 2.68
Pt2 0.0000 0.5000 0.2500  4 Ru 2.68, 4 Li 2.68, 4 Pt 2.68
Pt3 0.5000 0.0000 0.7500  4 Ru 2.68, 4 Li 2.68, 4 Pt 2.68
Pt4 0.5000 0.5000 0.0000  4 Li 2.68, 4 Ru 2.68, 4 Pt 2.68

Output
As for the space-group type: No. 119.

y.
A PBEsol-optimized structure of LiRuPt2, computed with meta-GGA SCAN.

Unit cell a=2.7040 b=2.7040 c=7.5978 alpha=90.00 beta=90.00 gamma=90.00
Closest atoms and distances in Å follow each position.
Atoms (fractional coordinates):
Li1 0.0000 0.0000 0.0000  4 Pt 2.60, 4 Li 2.70, 4 Ru 2.74
Ru1 0.5000 0.5000 0.7423  4 Pt 2.64, 4 Ru 2.70, 4 Li 2.74
Pt1 0.0000 0.0000 0.5018  4 Ru 2.64, 8 Pt 2.70-2.80
Pt2 0.5000 0.5000 0.2318  4 Li 2.60, 8 Pt 2.70-2.80

Output
As for the space-group type: No. 99.

z.
A PBEsol-optimized structure of LiRuPt2, computed with meta-GGA SCAN.

Unit cell a=5.3976 b=7.6101 c=2.6609 alpha=90.00 beta=90.00 gamma=90.00
Closest atoms and distances in Å follow each position.
Atoms (fractional coordinates):
Li1 0.0000 0.0000 0.0000  2 Li 2.66, 8 Pt 2.69, 2 Ru 2.70
Li2 0.5000 0.5000 0.0000  2 Li 2.66, 8 Pt 2.69, 2 Ru 2.70
Ru1 0.0000 0.5000 0.0000  2 Ru 2.66, 8 Pt 2.69, 2 Li 2.70
Ru2 0.5000 0.0000 0.0000  2 Ru 2.66, 8 Pt 2.69, 2 Li 2.70
Pt1 0.2500 0.2500 0.5000  4 Pt 2.66-2.70, 4 Li 2.69, 4 Ru 2.69
Pt2 0.2500 0.7500 0.5000  4 Pt 2.66-2.70, 4 Li 2.69, 4 Ru 2.69
Pt3 0.7500 0.2500 0.5000  4 Pt 2.66-2.70, 4 Li 2.69, 4 Ru 2.69
Pt4 0.7500 0.7500 0.5000  4 Pt 2.66-2.70, 4 Li 2.69, 4 Ru 2.69

Output
As for the space-group type: No. 65.

Energy ordering: z at the bottom, the next structure 0.168 eV/atom above.

w.
A PBEsol-optimized structure of SrLi2Pt, computed with meta-GGA SCAN.

Unit cell a=3.9361 b=4.0292 c=6.3062 alpha=90.00 beta=107.15 gamma=90.00
Closest atoms and distances in Å follow each position.
Atoms (fractional coordinates):
Sr1 0.0000 0.0000 0.0000  4 Pt 3.07, 3 Li 3.32-3.35
Li1 0.2920 0.0000 0.5562  2 Pt 2.49
Li2 0.7673 0.5000 0.5094  2 Pt 2.62-2.63, 4 Li 2.82-2.84
Pt1 0.4046 0.5000 0.7980  4 Li 2.49-2.63

Output
As for the space-group type: No. 6.

x.
A PBEsol-optimized structure of SrLi2Pt, computed with meta-GGA SCAN.

Unit cell a=4.3947 b=4.3947 c=15.5844 alpha=90.00 beta=90.00 gamma=120.00
Closest atoms and distances in Å follow each position.
Atoms (fractional coordinates):
Sr1 0.0000 0.0000 0.0000  1 Li 2.97, 4 Pt 3.18-3.24
Sr2 0.3333 0.6667 0.6667  1 Li 2.97, 4 Pt 3.18-3.24
Sr3 0.6667 0.3333 0.3333  1 Li 2.97, 4 Pt 3.18-3.24
Li1 0.0000 0.0000 0.5196  3 Pt 2.55, 3 Li 2.63
Li2 0.0000 0.0000 0.8095  3 Li 2.63, 3 Pt 2.71
Li3 0.3333 0.6667 0.1863  3 Pt 2.55, 3 Li 2.63
Li4 0.3333 0.6667 0.4761  3 Li 2.63, 3 Pt 2.71
Li5 0.6667 0.3333 0.1428  3 Li 2.63, 3 Pt 2.71
Li6 0.6667 0.3333 0.8529  3 Pt 2.55, 3 Li 2.63
Pt1 0.0000 0.0000 0.2043  6 Li 2.55-2.71
Pt2 0.3333 0.6667 0.8710  6 Li 2.55-2.71
Pt3 0.6667 0.3333 0.5377  6 Li 2.55-2.71

Output
As for the space-group type: No. 160.

y.
A PBEsol-optimized structure of SrLi2Pt, computed with meta-GGA SCAN.

Unit cell a=6.7204 b=6.7204 c=6.7204 alpha=90.00 beta=90.00 gamma=90.00
Closest atoms and distances in Å follow each position.
Atoms (fractional coordinates):
Sr1 0.0000 0.0000 0.0000  8 Li 2.91
Sr2 0.0000 0.5000 0.5000  8 Li 2.91
Sr3 0.5000 0.0000 0.5000  8 Li 2.91
Sr4 0.5000 0.5000 0.0000  8 Li 2.91
Li1 0.2500 0.2500 0.2500  4 Sr 2.91, 4 Pt 2.91
Li2 0.2500 0.2500 0.7500  4 Sr 2.91, 4 Pt 2.91
Li3 0.2500 0.7500 0.2500  4 Sr 2.91, 4 Pt 2.91
Li4 0.2500 0.7500 0.7500  4 Sr 2.91, 4 Pt 2.91
Li5 0.7500 0.2500 0.2500  4 Sr 2.91, 4 Pt 2.91
Li6 0.7500 0.2500 0.7500  4 Sr 2.91, 4 Pt 2.91
Li7 0.7500 0.7500 0.2500  4 Sr 2.91, 4 Pt 2.91
Li8 0.7500 0.7500 0.7500  4 Sr 2.91, 4 Pt 2.91
Pt1 0.0000 0.0000 0.5000  8 Li 2.91
Pt2 0.0000 0.5000 0.0000  8 Li 2.91
Pt3 0.5000 0.0000 0.0000  8 Li 2.91
Pt4 0.5000 0.5000 0.5000  8 Li 2.91

Output
As for the space-group type: No. 225.

Energy ordering: x at the bottom, the next structure 0.085 eV/atom above.

w.
A PBEsol-optimized structure of SrLi2Pt, computed with meta-GGA SCAN.

Unit cell a=4.3366 b=4.8181 c=4.3542 alpha=90.00 beta=95.63 gamma=90.00
Closest atoms and distances in Å follow each position.
Atoms (fractional coordinates):
Sr1 0.0000 0.0000 0.0000  4 Pt 2.92-3.22, 4 Li 3.17
Li1 0.3190 0.5000 0.6802  1 Li 2.33
Li2 0.6810 0.5000 0.3198  1 Li 2.33
Pt1 0.5000 0.0000 0.5000  4 Li 2.68, 2 Sr 2.92

Output
As for the space-group type: No. 10.

x.
A PBEsol-optimized structure of SrLi2Pt, computed with meta-GGA SCAN.

Unit cell a=3.1574 b=3.9872 c=6.1259 alpha=90.00 beta=90.00 gamma=90.00
Closest atoms and distances in Å follow each position.
Atoms (fractional coordinates):
Sr1 0.0000 0.0000 0.0000  2 Pt 3.06, 2 Sr 3.16, 8 Li 3.23
Li1 0.5000 0.5000 0.3240  1 Li 2.16
Li2 0.5000 0.5000 0.6760  1 Li 2.16
Pt1 0.0000 0.0000 0.5000  8 Li 2.76, 2 Sr 3.06

Output
As for the space-group type: No. 47.

Energy ordering: w at the bottom, the next structure 0.143 eV/atom above.

w.
A PBEsol-optimized structure of Sr2LiPt2, computed with meta-GGA SCAN.

Unit cell a=7.6099 b=7.6099 c=4.2416 alpha=90.00 beta=90.00 gamma=90.00
Closest atoms and distances in Å follow each position.
Atoms (fractional coordinates):
Sr1 0.1712 0.3288 0.0000  6 Pt 3.05-3.11
Sr2 0.3288 0.8288 0.0000  6 Pt 3.05-3.11
Sr3 0.6712 0.1712 0.0000  6 Pt 3.05-3.11
Sr4 0.8288 0.6712 0.0000  6 Pt 3.05-3.11
Li1 0.0000 0.0000 0.5000  4 Pt 3.01
Li2 0.5000 0.5000 0.5000  4 Pt 3.01
Pt1 0.1249 0.6249 0.5000  1 Pt 2.69, 2 Li 3.01
Pt2 0.3751 0.1249 0.5000  1 Pt 2.69, 2 Li 3.01
Pt3 0.6249 0.8751 0.5000  1 Pt 2.69, 2 Li 3.01
Pt4 0.8751 0.3751 0.5000  1 Pt 2.69, 2 Li 3.01

Output
As for the space-group type: No. 127.

x.
A PBEsol-optimized structure of Sr2LiPt2, computed with meta-GGA SCAN.

Unit cell a=5.8098 b=5.8098 c=7.8832 alpha=90.00 beta=90.00 gamma=90.00
Closest atoms and distances in Å follow each position.
Atoms (fractional coordinates):
Sr1 0.0000 0.5000 0.2500  4 Pt 2.98
Sr2 0.0000 0.5000 0.7500  4 Pt 2.98
Sr3 0.5000 0.0000 0.2500  4 Pt 2.98
Sr4 0.5000 0.0000 0.7500  4 Pt 2.98
Li1 0.0000 0.0000 0.0000  2 Pt 2.63
Li2 0.5000 0.5000 0.5000  2 Pt 2.63
Pt1 0.0000 0.0000 0.3340  1 Pt 2.62, 1 Li 2.63
Pt2 0.0000 0.0000 0.6660  1 Pt 2.62, 1 Li 2.63
Pt3 0.5000 0.5000 0.1660  1 Pt 2.62, 1 Li 2.63
Pt4 0.5000 0.5000 0.8340  1 Pt 2.62, 1 Li 2.63

Output
As for the space-group type: No. 139.

Energy ordering: w at the bottom, the next structure 0.162 eV/atom above.